# 1
Entry from Alexandria: an optimized crystal structure of Cs6TeSI2 (PBE).

Summary:
Total magnetic moment: 0.00 μB per formula unit
Total energy: -2.724 eV per atom
Formation energy without anion corrections: -1.175 eV/atom
ρ: 3.2 Mg/m³
Crystal system: monoclinic

a b c (Å): 9.510 9.510 9.629
angles (deg): 118.85 118.85 61.08
Fractional positions:
Cs (0.166, 0.682, 0.661)
Cs (0.235, 0.235, 0.865)
Cs (0.318, 0.834, 0.339)
Cs (0.682, 0.166, 0.661)
Cs (0.765, 0.765, 0.135)
Cs (0.834, 0.318, 0.339)
Te (0.500, 0.500, 0.000)
S (0.000, 0.000, 0.500)
I (0.254, 0.254, 0.286)
I (0.746, 0.746, 0.714)

# 2
Entry from Alexandria: an optimized crystal structure of Cs2TlSI (PBE).

Summary:
Total magnetic moment: 0.00 μB per formula unit
Total energy: -2.836 eV per atom
Formation energy without anion corrections: -0.886 eV/atom
ρ: 3.9 Mg/m³
Crystal system: tetragonal

a b c (Å): 6.773 6.773 5.893
angles (deg): 90.00 90.00 90.00
Fractional positions:
Cs (0.000, 0.500, 0.000)
Cs (0.500, 0.000, 0.000)
Tl (0.000, 0.000, 0.500)
S (0.000, 0.000, 0.000)
I (0.500, 0.500, 0.500)

# 3
Entry from Alexandria: an optimized crystal structure of Cs2Tl2SI2 (PBE).

Summary:
Total magnetic moment: 0.00 μB per formula unit
Total energy: -2.902 eV per atom
Formation energy without anion corrections: -0.949 eV/atom
ρ: 5.0 Mg/m³
Crystal system: monoclinic

a b c (Å): 7.672 7.672 9.907
angles (deg): 116.60 116.60 38.59
Fractional positions:
Cs (0.044, 0.044, 0.291)
Cs (0.956, 0.956, 0.709)
Tl (0.295, 0.295, 0.926)
Tl (0.705, 0.705, 0.074)
S (0.500, 0.500, 0.000)
I (0.328, 0.328, 0.348)
I (0.672, 0.672, 0.652)

# 4
Entry from Alexandria: an optimized crystal structure of Cs2TlSI6 (PBE).

Summary:
Total magnetic moment: 0.00 μB per formula unit
Total energy: -2.390 eV per atom
Formation energy without anion corrections: -0.640 eV/atom
ρ: 4.7 Mg/m³
Crystal system: tetragonal

a b c (Å): 8.564 8.564 8.564
angles (deg): 119.73 119.73 90.47
Fractional positions:
Cs (0.250, 0.750, 0.500)
Cs (0.750, 0.250, 0.500)
Tl (0.000, 0.000, 0.000)
S (0.500, 0.500, 0.000)
I (0.255, 0.255, 0.511)
I (0.255, 0.745, 0.000)
I (0.275, 0.275, 0.000)
I (0.725, 0.725, 0.000)
I (0.745, 0.255, 0.000)
I (0.745, 0.745, 0.489)

# 5
Entry from Alexandria: an optimized crystal structure of Cs2US2I4 (PBE).

Summary:
Total magnetic moment: 0.00 μB per formula unit
Total energy: -4.189 eV per atom
Formation energy without anion corrections: -1.139 eV/atom
ρ: 4.5 Mg/m³
Crystal system: monoclinic

a b c (Å): 8.091 8.091 6.932
angles (deg): 97.95 97.95 62.94
Fractional positions:
Cs (0.164, 0.164, 0.292)
Cs (0.836, 0.836, 0.708)
U (0.500, 0.500, 0.000)
S (0.364, 0.364, 0.748)
S (0.636, 0.636, 0.252)
I (0.150, 0.656, 0.210)
I (0.344, 0.850, 0.790)
I (0.656, 0.150, 0.210)
I (0.850, 0.344, 0.790)

# 6
Entry from Alexandria: an optimized crystal structure of Cs2USI5 (PBE).

Summary:
Total magnetic moment: 1.00 μB per formula unit
Total energy: -3.948 eV per atom
Formation energy without anion corrections: -1.185 eV/atom
ρ: 4.5 Mg/m³
Crystal system: tetragonal

a b c (Å): 8.467 8.467 8.467
angles (deg): 119.61 119.61 90.68
Fractional positions:
Cs (0.000, 0.500, 0.500)
Cs (0.500, 0.000, 0.500)
U (0.263, 0.263, 0.000)
S (0.462, 0.462, 0.000)
I (0.002, 0.002, 0.501)
I (0.002, 0.501, 0.000)
I (0.009, 0.009, 0.000)
I (0.501, 0.002, 0.000)
I (0.501, 0.501, 0.499)

# 7
Entry from Alexandria: an optimized crystal structure of Cs2ZrSI6 (PBE).

Summary:
Total magnetic moment: 0.00 μB per formula unit
Total energy: -3.229 eV per atom
Formation energy without anion corrections: -0.861 eV/atom
ρ: 4.0 Mg/m³
Crystal system: tetragonal

a b c (Å): 8.578 8.578 8.578
angles (deg): 114.11 114.11 100.54
Fractional positions:
Cs (0.250, 0.750, 0.500)
Cs (0.750, 0.250, 0.500)
Zr (0.000, 0.000, 0.000)
S (0.500, 0.500, 0.000)
I (0.219, 0.219, 0.439)
I (0.219, 0.781, 0.000)
I (0.263, 0.263, 0.000)
I (0.737, 0.737, 0.000)
I (0.781, 0.219, 0.000)
I (0.781, 0.781, 0.561)

# 8
Entry from Alexandria: an optimized crystal structure of Cs2SbI (PBE).

Summary:
E above lowest polymorph: 0.000 eV per atom
Total magnetic moment: 2.00 μB per formula unit
Total energy: -2.413 eV per atom
Formation energy without anion corrections: -0.569 eV/atom
ρ: 4.1 Mg/m³
Crystal system: cubic

a b c (Å): 6.645 6.645 6.645
angles (deg): 60.00 60.00 60.00
Fractional positions:
Cs (0.250, 0.250, 0.250)
Cs (0.750, 0.750, 0.750)
Sb (0.000, 0.000, 0.000)
I (0.500, 0.500, 0.500)